Below is a geometry-optimized Pm2SmGa2 structure, with properties calculated at the GGA-PBE level.

a = 6.541 Å, b = 6.541 Å, c = 6.052 Å
α = 101.72°, β = 101.72°, γ = 33.35°
Atoms (fractional coordinates):
Pm 0.136 0.136 0.069
Pm 0.864 0.864 0.931
Sm 0.500 0.500 0.500
Ga 0.204 0.204 0.607
Ga 0.796 0.796 0.393

The value obtained for the density of states at the Fermi level is 5.578 states/eV/f.u. The space group is C2/m (12). The calculation puts the total energy at -4.416 eV per atom. Its formation energy is -0.361 eV per atom. The calculation puts the energy above the lowest structure with this stoichiometry at 131 meV per atom. The spin magnetization is 0.00 μB per formula unit.